Compound: TaBiPO2
Source: the Alexandria database
Functional: PBE
Structure: optimized geometry

Cell: 4.1166 4.1166 5.5609 Å, 90.00 90.00 90.00°
Last column: magnetic moment on the atom in μB.
Element x y z (fractional)
1 O 0.5000 0.0000 0.0000  0.01
2 O 0.0000 0.5000 0.0000  0.01
3 Bi 0.0000 0.0000 0.0000  0.00
4 P 0.0000 0.0000 0.5000  -0.08
5 Ta 0.5000 0.5000 0.5000  1.45

Computed properties:
ΔE to the lowest computed polymorph = 1.724 eV per atom
DOS(E_F) = 1.03 states/eV/atom
uncorrected energy = -28.78 eV for the cell shown

---

Compound: Sm3HoAl8
Source: the Alexandria database
Functional: PBE
Structure: optimized geometry

Cell: 5.6048 5.6048 9.2255 Å, 90.00 90.00 120.00°
Element x y z (fractional)
1 Al 0.3333 0.6667 0.9988
2 Al 0.1621 0.3243 0.2516
3 Al 0.5044 0.4956 0.7479
4 Al 0.1621 0.8379 0.2516
5 Al 0.9912 0.4956 0.7479
6 Al 0.3333 0.6667 0.5010
7 Al 0.6757 0.8379 0.2516
8 Al 0.5044 0.0088 0.7479
9 Ho 0.0000 0.0000 0.5681
10 Sm 0.6667 0.3333 0.0689
11 Sm 0.6667 0.3333 0.4327
12 Sm 0.0000 0.0000 0.9320

Computed properties:
ΔE to the lowest computed polymorph = 0.009 eV per atom
DOS(E_F) = 0.48 states/eV/atom
uncorrected energy = -54.69 eV for the cell shown
ΔE_f = -6.01 eV/f.u.

---

What is the ΔE to the lowest computed polymorph in the second record?
0.009 eV per atom

---

What is the DOS(E_F) in the first record?
1.03 states/eV/atom

---

The lowest ΔE to the lowest computed polymorph belongs to which entry?
Sm3HoAl8

---

Which of these has the lowest ΔE to the lowest computed polymorph?
Sm3HoAl8